Entry 1:
# TiAgW2

A relaxed structure of TiAgW2 (PBEsol, Alexandria via LeMat-Bulk).

a b c (Å): 6.319 6.319 6.319
angles (deg): 90.00 90.00 90.00
Space group Fm-3m (No. 225)
Symmetry-distinct sites (fractional):
Ti 0.000 0.000 0.000
Ag 0.000 0.000 0.500
W 0.250 0.250 0.250

Summary:
**Total DFT energy (no corrections)**: -146.1 eV for the cell shown
**Formation energy**: 682.2 meV/atom

=====

Entry 2:
# KTl2Sb2

A relaxed structure of KTl2Sb2 (PBEsol, Alexandria via LeMat-Bulk).

a b c (Å): 9.190 9.190 3.592
angles (deg): 90.00 90.00 90.00
Space group P4/mbm (No. 127)
Symmetry-distinct sites (fractional):
K 0.000 0.000 0.000
Tl 0.131 0.369 0.000
Sb 0.165 0.665 0.500

Summary:
**Total DFT energy (no corrections)**: -31.9 eV for the cell shown
**Offset from the most stable computed form**: 0 meV/atom
**Energy relative to the elements, uncorrected**: -0.09 eV/atom

=====

- Which of these has the highest total DFT energy (no corrections)?
  KTl2Sb2

=====

- What is the formula in the second record?
  KTl2Sb2

=====

Copy entry 1 word for word.
# TiAgW2

A relaxed structure of TiAgW2 (PBEsol, Alexandria via LeMat-Bulk).

a b c (Å): 6.319 6.319 6.319
angles (deg): 90.00 90.00 90.00
Space group Fm-3m (No. 225)
Symmetry-distinct sites (fractional):
Ti 0.000 0.000 0.000
Ag 0.000 0.000 0.500
W 0.250 0.250 0.250

Summary:
**Total DFT energy (no corrections)**: -146.1 eV for the cell shown
**Formation energy**: 682.2 meV/atom

=====

Copy entry 1 word for word.
# TiAgW2

A relaxed structure of TiAgW2 (PBEsol, Alexandria via LeMat-Bulk).

a b c (Å): 6.319 6.319 6.319
angles (deg): 90.00 90.00 90.00
Space group Fm-3m (No. 225)
Symmetry-distinct sites (fractional):
Ti 0.000 0.000 0.000
Ag 0.000 0.000 0.500
W 0.250 0.250 0.250

Summary:
**Total DFT energy (no corrections)**: -146.1 eV for the cell shown
**Formation energy**: 682.2 meV/atom